Entry P
The following is a PBE calculation of La2Nd7Sm3 after structural relaxation, from the Alexandria database.

It has space group P2/m (No. 10), with a = 6.031 Å, b = 3.663 Å, c = 19.383 Å, α = 90.00°, β = 93.18° and γ = 90.00°. The inequivalent atoms are La at (0.202, 0.000, 0.296), Nd at (0.181, 0.500, 0.143), Nd at (0.242, 0.000, 0.464), Nd at (0.318, 0.000, 0.824), Nd at (0.500, 0.500, 0.000), Sm at (0.000, 0.000, 0.000) and Sm at (0.286, 0.500, 0.631).

The calculation puts the total magnetization at 0.00 μB per formula unit. The value obtained for the calculated density is 6.75 g/cm3.

Entry Q
The following is a PBE calculation of La2Nd7Sm3 after structural relaxation, from the Alexandria database.

It has space group P2/m (No. 10), with a = 6.551 Å, b = 3.618 Å, c = 18.026 Å, α = 90.00°, β = 96.09° and γ = 90.00°. The inequivalent atoms are La at (0.058, 0.000, 0.170), Nd at (0.000, 0.500, 0.500), Nd at (0.228, 0.000, 0.667), Nd at (0.257, 0.000, 0.998), Nd at (0.276, 0.500, 0.336), Sm at (0.453, 0.500, 0.840) and Sm at (0.500, 0.000, 0.500).

The calculation puts the total magnetization at 0.00 μB per formula unit. The value obtained for the calculated density is 6.80 g/cm3.

Stability order, top to bottom: entry Q, entry P

Entry P
The following is a PBE calculation of La6NdSm12 after structural relaxation, from the Alexandria database.

It has space group R-3 (No. 148, hexagonal axes), with a = 12.3424 Å, b = 12.3424 Å, c = 15.2500 Å, α = 90.00°, β = 90.00° and γ = 120.00°. The inequivalent atoms are La at (0.0113, 0.4201, 0.1837), Nd at (0.0000, 0.0000, 0.5000), Sm at (0.0012, 0.8302, 0.6905) and Sm at (0.0494, 0.8547, 0.9166).

The calculation puts the total magnetization at 0.00 μB per formula unit. The value obtained for the calculated density is 6.89 g/cm3.

Entry Q
The following is a PBE calculation of La6NdSm12 after structural relaxation, from the Alexandria database.

It has space group R-3 (No. 148, hexagonal axes), with a = 15.9937 Å, b = 15.9937 Å, c = 9.0082 Å, α = 90.00°, β = 90.00° and γ = 120.00°. The inequivalent atoms are La at (0.0348, 0.7553, 0.3340), Nd at (0.0000, 0.0000, 0.0000), Sm at (0.0176, 0.8778, 0.6677) and Sm at (0.0712, 0.5101, 0.6664).

The calculation puts the total magnetization at 0.00 μB per formula unit. The value obtained for the calculated density is 6.94 g/cm3.

Stability order, top to bottom: entry Q, entry P

Entry P
The following is a PBE calculation of La2Nd2Sm7 after structural relaxation, from the Alexandria database.

It has space group C2/m (No. 12), with a = 11.492 Å, b = 11.840 Å, c = 6.229 Å, α = 90.00°, β = 113.53° and γ = 90.00°. The inequivalent atoms are La at (0.097, 0.000, 0.313), Nd at (0.000, 0.288, 0.000), Sm at (0.000, 0.500, 0.500), Sm at (0.173, 0.259, 0.674) and Sm at (0.233, 0.500, 0.073).

The calculation puts the total magnetization at 0.00 μB per formula unit. The value obtained for the calculated density is 6.92 g/cm3.

Entry Q
The following is a PBE calculation of La2Nd2Sm7 after structural relaxation, from the Alexandria database.

It has space group C2/m (No. 12), with a = 11.559 Å, b = 11.773 Å, c = 6.197 Å, α = 90.00°, β = 113.07° and γ = 90.00°. The inequivalent atoms are La at (0.000, 0.216, 0.000), Nd at (0.237, 0.000, 0.087), Sm at (0.000, 0.000, 0.500), Sm at (0.090, 0.500, 0.309) and Sm at (0.174, 0.235, 0.667).

The calculation puts the total magnetization at 0.00 μB per formula unit. The value obtained for the calculated density is 6.93 g/cm3.

Stability order, top to bottom: entry P, entry Q

Entry P
The following is a PBE calculation of LaNdSmSn after structural relaxation, from the Alexandria database.

It has space group F-43m (No. 216), with a = 7.927 Å, b = 7.927 Å, c = 7.927 Å, α = 90.00°, β = 90.00° and γ = 90.00°. The inequivalent atoms are La at (0.000, 0.000, 0.000), Nd at (0.000, 0.000, 0.500), Sm at (0.250, 0.250, 0.250) and Sn at (0.250, 0.250, 0.750).

The calculation puts the total magnetization at 0.00 μB per formula unit. The value obtained for the calculated density is 7.36 g/cm3.

Entry Q
The following is a PBE calculation of LaNdSmSn after structural relaxation, from the Alexandria database.

It has space group I-4m2 (No. 119), with a = 4.909 Å, b = 4.909 Å, c = 10.208 Å, α = 90.00°, β = 90.00° and γ = 90.00°. The inequivalent atoms are La at (0.000, 0.000, 0.000), Nd at (0.000, 0.500, 0.750), Sm at (0.000, 0.500, 0.250) and Sn at (0.000, 0.000, 0.500).

The calculation puts the total magnetization at 0.00 μB per formula unit. The value obtained for the calculated density is 7.46 g/cm3.

Stability order, top to bottom: entry Q, entry P

Entry P
The following is a PBE calculation of LaTbNdSm after structural relaxation, from the Alexandria database.

It has space group F-43m (No. 216), with a = 8.221 Å, b = 8.221 Å, c = 8.221 Å, α = 90.00°, β = 90.00° and γ = 90.00°. The inequivalent atoms are La at (0.000, 0.000, 0.000), Tb at (0.250, 0.250, 0.750), Nd at (0.000, 0.000, 0.500) and Sm at (0.250, 0.250, 0.250).

The calculation puts the total magnetization at 0.00 μB per formula unit. The value obtained for the calculated density is 7.08 g/cm3.

Entry Q
The following is a PBE calculation of LaTbNdSm after structural relaxation, from the Alexandria database.

It has space group I-4m2 (No. 119), with a = 5.166 Å, b = 5.166 Å, c = 10.396 Å, α = 90.00°, β = 90.00° and γ = 90.00°. The inequivalent atoms are La at (0.000, 0.000, 0.000), Tb at (0.000, 0.000, 0.500), Nd at (0.000, 0.500, 0.250) and Sm at (0.000, 0.500, 0.750).

The calculation puts the total magnetization at 0.00 μB per formula unit. The value obtained for the calculated density is 7.09 g/cm3.

Stability order, top to bottom: entry Q, entry P

Entry P
The following is a PBE calculation of LaNdSmTl after structural relaxation, from the Alexandria database.

It has space group I-4m2 (No. 119), with a = 4.919 Å, b = 4.919 Å, c = 10.373 Å, α = 90.00°, β = 90.00° and γ = 90.00°. The inequivalent atoms are La at (0.000, 0.000, 0.000), Nd at (0.000, 0.500, 0.250), Sm at (0.000, 0.500, 0.750) and Tl at (0.000, 0.000, 0.500).

The calculation puts the total magnetization at 0.00 μB per formula unit. The value obtained for the calculated density is 8.44 g/cm3.

Entry Q
The following is a PBE calculation of LaNdSmTl after structural relaxation, from the Alexandria database.

It has space group F-43m (No. 216), with a = 8.005 Å, b = 8.005 Å, c = 8.005 Å, α = 90.00°, β = 90.00° and γ = 90.00°. The inequivalent atoms are La at (0.000, 0.000, 0.000), Nd at (0.000, 0.000, 0.500), Sm at (0.250, 0.250, 0.750) and Tl at (0.250, 0.250, 0.250).

The calculation puts the total magnetization at 1.46 μB per formula unit. The value obtained for the calculated density is 8.26 g/cm3.

Stability order, top to bottom: entry P, entry Q

Entry P
The following is a PBE calculation of LaNdSmTm after structural relaxation, from the Alexandria database.

It has space group F-43m (No. 216), with a = 8.185 Å, b = 8.185 Å, c = 8.185 Å, α = 90.00°, β = 90.00° and γ = 90.00°. The inequivalent atoms are La at (0.000, 0.000, 0.000), Nd at (0.000, 0.000, 0.500), Sm at (0.250, 0.250, 0.750) and Tm at (0.250, 0.250, 0.250).

The calculation puts the total magnetization at 0.00 μB per formula unit. The value obtained for the calculated density is 7.30 g/cm3.

Entry Q
The following is a PBE calculation of LaNdSmTm after structural relaxation, from the Alexandria database.

It has space group P3m1 (No. 156), with a = 3.6482 Å, b = 3.6482 Å, c = 11.8065 Å, α = 90.00°, β = 90.00° and γ = 120.00°. The inequivalent atoms are La at (0.0000, 0.0000, 0.0000), Nd at (0.6667, 0.3333, 0.7398), Sm at (0.3333, 0.6667, 0.4898) and Tm at (0.6667, 0.3333, 0.2497).

The calculation puts the total magnetization at 0.00 μB per formula unit. The value obtained for the calculated density is 7.35 g/cm3.

Stability order, top to bottom: entry Q, entry P

Entry P
The following is a PBE calculation of LaNd3Sn after structural relaxation, from the Alexandria database.

It has space group Pmmn (No. 59, origin choice 2), with a = 3.673 Å, b = 6.734 Å, c = 13.875 Å, α = 90.00°, β = 90.00° and γ = 90.00°. The inequivalent atoms are La at (0.250, 0.250, 0.012), Nd at (0.250, 0.250, 0.427), Nd at (0.250, 0.501, 0.778) and Sn at (0.250, 0.750, 0.380).

The calculation puts the total magnetization at 0.00 μB per formula unit. The value obtained for the calculated density is 6.68 g/cm3.

Entry Q
The following is a PBE calculation of LaNd3Sn after structural relaxation, from the Alexandria database.

It has space group C2/m (No. 12), with a = 12.597 Å, b = 5.208 Å, c = 11.124 Å, α = 90.00°, β = 110.88° and γ = 90.00°. The inequivalent atoms are La at (0.125, 0.000, 0.111), Nd at (0.016, 0.000, 0.361), Nd at (0.092, 0.500, 0.888), Nd at (0.211, 0.500, 0.337) and Sn at (0.135, 0.500, 0.597).

The calculation puts the total magnetization at 0.00 μB per formula unit. The value obtained for the calculated density is 6.72 g/cm3.

Stability order, top to bottom: entry P, entry Q

Entry P
The following is a PBE calculation of La5NdSn2 after structural relaxation, from the Alexandria database.

It has space group Cmcm (No. 63), with a = 4.388 Å, b = 12.343 Å, c = 20.041 Å, α = 90.00°, β = 90.00° and γ = 90.00°. The inequivalent atoms are La at (0.000, 0.038, 0.115), La at (0.000, 0.359, 0.023), La at (0.000, 0.413, 0.750), Nd at (0.000, 0.313, 0.250) and Sn at (0.000, 0.245, 0.630).

The calculation puts the total magnetization at 0.00 μB per formula unit. The value obtained for the calculated density is 6.59 g/cm3.

Entry Q
The following is a PBE calculation of La5NdSn2 after structural relaxation, from the Alexandria database.

It has space group Pbam (No. 55), with a = 7.108 Å, b = 14.211 Å, c = 5.006 Å, α = 90.00°, β = 90.00° and γ = 90.00°. The inequivalent atoms are La at (0.000, 0.000, 0.000), La at (0.006, 0.251, 0.000), La at (0.247, 0.875, 0.500), Nd at (0.000, 0.500, 0.000) and Sn at (0.245, 0.624, 0.500).

The calculation puts the total magnetization at 0.00 μB per formula unit. The value obtained for the calculated density is 7.07 g/cm3.

Stability order, top to bottom: entry Q, entry P

Entry P
The following is a PBE calculation of LaNd2Sn after structural relaxation, from the Alexandria database.

It has space group R3m (No. 160, hexagonal axes), with a = 3.6958 Å, b = 3.6958 Å, c = 33.8685 Å, α = 90.00°, β = 90.00° and γ = 120.00°. The inequivalent atoms are La at (0.0000, 0.0000, 0.0000), Nd at (0.0000, 0.0000, 0.5767), Nd at (0.0000, 0.0000, 0.7571) and Sn at (0.0000, 0.0000, 0.1665).

The calculation puts the total magnetization at 0.00 μB per formula unit. The value obtained for the calculated density is 6.79 g/cm3.

Entry Q
The following is a PBE calculation of LaNd2Sn after structural relaxation, from the Alexandria database.

It has space group R-3m (No. 166, hexagonal axes), with a = 3.5431 Å, b = 3.5431 Å, c = 36.5420 Å, α = 90.00°, β = 90.00° and γ = 120.00°. The inequivalent atoms are La at (0.0000, 0.0000, 0.0000), Nd at (0.0000, 0.0000, 0.0946) and Sn at (0.0000, 0.0000, 0.5000).

The calculation puts the total magnetization at 0.00 μB per formula unit. The value obtained for the calculated density is 6.85 g/cm3.

Entry R
The following is a PBE calculation of LaNd2Sn after structural relaxation, from the Alexandria database.

It has space group P4/mmm (No. 123), with a = 5.016 Å, b = 5.016 Å, c = 4.902 Å, α = 90.00°, β = 90.00° and γ = 90.00°. The inequivalent atoms are La at (0.000, 0.000, 0.000), Nd at (0.000, 0.500, 0.500) and Sn at (0.500, 0.500, 0.000).

The calculation puts the total magnetization at 0.00 μB per formula unit. The value obtained for the calculated density is 7.35 g/cm3.

Entry S
The following is a PBE calculation of LaNd2Sn after structural relaxation, from the Alexandria database.

It has space group P4/mmm (No. 123), with a = 4.197 Å, b = 4.197 Å, c = 7.243 Å, α = 90.00°, β = 90.00° and γ = 90.00°. The inequivalent atoms are La at (0.000, 0.000, 0.000), Nd at (0.500, 0.500, 0.283) and Sn at (0.000, 0.000, 0.500).

The calculation puts the total magnetization at 0.61 μB per formula unit. The value obtained for the calculated density is 7.11 g/cm3.

Stability order, top to bottom: entry R, entry S, entry P, entry Q

Entry P
The following is a PBE calculation of LaNd2Sn2 after structural relaxation, from the Alexandria database.

It has space group P6_3/mmc (No. 194), with a = 5.2595 Å, b = 5.2595 Å, c = 13.2057 Å, α = 90.00°, β = 90.00° and γ = 120.00°. The inequivalent atoms are La at (0.0000, 0.0000, 0.2500), Nd at (0.0000, 0.0000, 0.0000), Nd at (0.3333, 0.6667, 0.2500) and Sn at (0.3333, 0.6667, 0.6284).

The calculation puts the total magnetization at 0.00 μB per formula unit. The value obtained for the calculated density is 6.98 g/cm3.

Entry Q
The following is a PBE calculation of LaNd2Sn2 after structural relaxation, from the Alexandria database.

It has space group P2_1/m (No. 11), with a = 5.912 Å, b = 4.179 Å, c = 13.369 Å, α = 90.00°, β = 96.29° and γ = 90.00°. The inequivalent atoms are La at (0.201, 0.250, 0.252), Nd at (0.243, 0.750, 0.465), Nd at (0.339, 0.250, 0.890), Sn at (0.156, 0.750, 0.049) and Sn at (0.284, 0.250, 0.655).

The calculation puts the total magnetization at 0.00 μB per formula unit. The value obtained for the calculated density is 6.72 g/cm3.

Stability order, top to bottom: entry Q, entry P